## w
DFT (GGA-PBE) results for Ni4SbP after structural relaxation.

## Properties
Crystal system = cubic

```
data_Ni4SbP
_symmetry_space_group_name_H-M 'F -4 3 m'
_symmetry_Int_Tables_number 216
_symmetry_space_group_name_Hall 'F -4 2 3'
_cell_length_a 6.843
_cell_length_b 6.843
_cell_length_c 6.843
_cell_angle_alpha 90.00
_cell_angle_beta 90.00
_cell_angle_gamma 90.00
loop_
_atom_site_label
_atom_site_fract_x
_atom_site_fract_y
_atom_site_fract_z
Ni1 0.125 0.125 0.125
Sb1 0.000 0.000 0.500
P1 0.250 0.250 0.750
```

---

## x
DFT (GGA-PBE) results for Ni4SbP after structural relaxation.

## Properties
Crystal system = monoclinic

```
data_Ni4SbP
_symmetry_space_group_name_H-M 'C 1 2/c 1'
_symmetry_Int_Tables_number 15
_symmetry_space_group_name_Hall '-C 2yc'
_cell_length_a 6.540
_cell_length_b 9.149
_cell_length_c 5.442
_cell_angle_alpha 90.00
_cell_angle_beta 104.89
_cell_angle_gamma 90.00
loop_
_atom_site_label
_atom_site_fract_x
_atom_site_fract_y
_atom_site_fract_z
Ni1 0.113 0.174 0.092
Ni2 0.223 0.387 0.393
Sb1 0.000 0.378 0.750
P1 0.000 0.028 0.750
```

---

Unit: eV/atom. Relative energies: w 0.352; x 0.000.

---

## w
DFT (GGA-PBE) results for NiSb3P after structural relaxation.

## Properties
Crystal system = cubic

```
data_NiSb3P
_symmetry_space_group_name_H-M 'P m -3 m'
_symmetry_Int_Tables_number 221
_symmetry_space_group_name_Hall '-P 4 2 3'
_cell_length_a 5.103
_cell_length_b 5.103
_cell_length_c 5.103
_cell_angle_alpha 90.00
_cell_angle_beta 90.00
_cell_angle_gamma 90.00
loop_
_atom_site_label
_atom_site_fract_x
_atom_site_fract_y
_atom_site_fract_z
Ni1 0.000 0.000 0.000
Sb1 0.000 0.500 0.500
P1 0.500 0.500 0.500
```

---

## x
DFT (GGA-PBE) results for NiSb3P after structural relaxation.

## Properties
Crystal system = cubic

```
data_NiSb3P
_symmetry_space_group_name_H-M 'P m -3 m'
_symmetry_Int_Tables_number 221
_symmetry_space_group_name_Hall '-P 4 2 3'
_cell_length_a 4.944
_cell_length_b 4.944
_cell_length_c 4.944
_cell_angle_alpha 90.00
_cell_angle_beta 90.00
_cell_angle_gamma 90.00
loop_
_atom_site_label
_atom_site_fract_x
_atom_site_fract_y
_atom_site_fract_z
Ni1 0.000 0.000 0.000
Sb1 0.000 0.000 0.500
P1 0.500 0.500 0.500
```

---

Unit: eV/atom. Relative energies: w 0.434; x 0.000.

---

## w
DFT (GGA-PBE) results for Sc2Ni2P after structural relaxation.

## Properties
Crystal system = tetragonal

```
data_Sc2Ni2P
_symmetry_space_group_name_H-M 'P 4/m b m'
_symmetry_Int_Tables_number 127
_symmetry_space_group_name_Hall '-P 4 2ab'
_cell_length_a 7.142
_cell_length_b 7.142
_cell_length_c 3.285
_cell_angle_alpha 90.00
_cell_angle_beta 90.00
_cell_angle_gamma 90.00
loop_
_atom_site_label
_atom_site_fract_x
_atom_site_fract_y
_atom_site_fract_z
Sc1 0.171 0.329 0.000
Ni1 0.120 0.620 0.500
P1 0.000 0.000 0.000
```

---

## x
DFT (GGA-PBE) results for Sc2Ni2P after structural relaxation.

## Properties
Crystal system = tetragonal

```
data_Sc2Ni2P
_symmetry_space_group_name_H-M 'P 4/m b m'
_symmetry_Int_Tables_number 127
_symmetry_space_group_name_Hall '-P 4 2ab'
_cell_length_a 6.385
_cell_length_b 6.385
_cell_length_c 3.729
_cell_angle_alpha 90.00
_cell_angle_beta 90.00
_cell_angle_gamma 90.00
loop_
_atom_site_label
_atom_site_fract_x
_atom_site_fract_y
_atom_site_fract_z
Sc1 0.176 0.324 0.000
Ni1 0.134 0.634 0.500
P1 0.000 0.000 0.500
```

---

Unit: eV/atom. Relative energies: w 0.345; x 0.000.

---

## w
DFT (GGA-PBE) results for Sc2Ni12P7 after structural relaxation.

## Properties
Crystal system = hexagonal

```
data_Sc2Ni12P7
_symmetry_space_group_name_H-M 'P -6'
_symmetry_Int_Tables_number 174
_symmetry_space_group_name_Hall 'P -6'
_cell_length_a 8.9959
_cell_length_b 8.9959
_cell_length_c 3.5976
_cell_angle_alpha 90.00
_cell_angle_beta 90.00
_cell_angle_gamma 120.00
loop_
_atom_site_label
_atom_site_fract_x
_atom_site_fract_y
_atom_site_fract_z
Sc1 0.0000 0.0000 0.0000
Sc2 0.3333 0.6667 0.5000
Ni1 0.0504 0.7677 0.5000
Ni2 0.1024 0.3958 0.0000
Ni3 0.3905 0.2126 0.0000
Ni4 0.5403 0.1135 0.5000
P1 0.0794 0.6272 0.0000
P2 0.2549 0.0402 0.5000
P3 0.6667 0.3333 0.0000
```

---

## x
DFT (GGA-PBE) results for Sc2Ni12P7 after structural relaxation.

## Properties
Crystal system = trigonal

```
data_Sc2Ni12P7
_symmetry_space_group_name_H-M 'P -3'
_symmetry_Int_Tables_number 147
_symmetry_space_group_name_Hall '-P 3'
_cell_length_a 9.0223
_cell_length_b 9.0223
_cell_length_c 3.6002
_cell_angle_alpha 90.00
_cell_angle_beta 90.00
_cell_angle_gamma 120.00
loop_
_atom_site_label
_atom_site_fract_x
_atom_site_fract_y
_atom_site_fract_z
Sc1 0.3333 0.6667 0.2519
Ni1 0.0587 0.4373 0.7507
Ni2 0.1129 0.2580 0.2464
P1 0.0000 0.0000 0.5000
P2 0.1192 0.7066 0.7505
```

---

Unit: eV/atom. Relative energies: w 0.000; x 0.007.

---

## w
DFT (GGA-PBE) results for ScNi4P2 after structural relaxation.

## Properties
Crystal system = tetragonal

```
data_ScNi4P2
_symmetry_space_group_name_H-M 'P 42/m n m'
_symmetry_Int_Tables_number 136
_symmetry_space_group_name_Hall '-P 4n 2n'
_cell_length_a 6.960
_cell_length_b 6.960
_cell_length_c 3.556
_cell_angle_alpha 90.00
_cell_angle_beta 90.00
_cell_angle_gamma 90.00
loop_
_atom_site_label
_atom_site_fract_x
_atom_site_fract_y
_atom_site_fract_z
Sc1 0.000 0.000 0.000
Ni1 0.082 0.333 0.500
P1 0.221 0.779 0.500
```

---

## x
DFT (GGA-PBE) results for ScNi4P2 after structural relaxation.

## Properties
Crystal system = trigonal

```
data_ScNi4P2
_symmetry_space_group_name_H-M 'R -3 m'
_symmetry_Int_Tables_number 166
_symmetry_space_group_name_Hall '-R 3 2"'
_cell_length_a 3.8275
_cell_length_b 3.8275
_cell_length_c 20.9901
_cell_angle_alpha 90.00
_cell_angle_beta 90.00
_cell_angle_gamma 120.00
loop_
_atom_site_label
_atom_site_fract_x
_atom_site_fract_y
_atom_site_fract_z
Sc1 0.0000 0.0000 0.0000
Ni1 0.0000 0.0000 0.1396
Ni2 0.0000 0.0000 0.4212
P1 0.0000 0.0000 0.2482
```

---

Unit: eV/atom. Relative energies: w 0.000; x 0.128.

---

## w
DFT (GGA-PBE) results for ScNi3P after structural relaxation.

## Properties
Crystal system = cubic

```
data_ScNi3P
_symmetry_space_group_name_H-M 'P m -3 m'
_symmetry_Int_Tables_number 221
_symmetry_space_group_name_Hall '-P 4 2 3'
_cell_length_a 4.410
_cell_length_b 4.410
_cell_length_c 4.410
_cell_angle_alpha 90.00
_cell_angle_beta 90.00
_cell_angle_gamma 90.00
loop_
_atom_site_label
_atom_site_fract_x
_atom_site_fract_y
_atom_site_fract_z
Sc1 0.000 0.000 0.000
Ni1 0.000 0.000 0.500
P1 0.500 0.500 0.500
```

---

## x
DFT (GGA-PBE) results for ScNi3P after structural relaxation.

## Properties
Crystal system = cubic

```
data_ScNi3P
_symmetry_space_group_name_H-M 'P m -3 m'
_symmetry_Int_Tables_number 221
_symmetry_space_group_name_Hall '-P 4 2 3'
_cell_length_a 4.187
_cell_length_b 4.187
_cell_length_c 4.187
_cell_angle_alpha 90.00
_cell_angle_beta 90.00
_cell_angle_gamma 90.00
loop_
_atom_site_label
_atom_site_fract_x
_atom_site_fract_y
_atom_site_fract_z
Sc1 0.000 0.000 0.000
Ni1 0.000 0.500 0.500
P1 0.500 0.500 0.500
```

---

Unit: eV/atom. Relative energies: w 1.576; x 0.000.